1.
{"formula": "Si2IrO", "functional": "PBE", "state": "relaxed", "lattice": [[5.025, 0.000, 0.000], [0.000, 5.025, 0.000], [0.000, 0.000, 9.471]], "species": ["Si", "Si", "Si", "Si", "Si", "Si", "Si", "Si", "Ir", "Ir", "Ir", "Ir", "O", "O", "O", "O"], "fractional_positions": [[0.204, 0.250, 0.125], [0.250, 0.704, 0.375], [0.250, 0.796, 0.875], [0.296, 0.250, 0.625], [0.704, 0.750, 0.625], [0.750, 0.204, 0.875], [0.750, 0.296, 0.375], [0.796, 0.750, 0.125], [0.000, 0.000, 0.500], [0.000, 0.500, 0.750], [0.500, 0.000, 0.250], [0.500, 0.500, 0.000], [0.000, 0.000, 0.000], [0.000, 0.500, 0.250], [0.500, 0.000, 0.750], [0.500, 0.500, 0.500]], "e_form_raw_ev_per_atom": -0.55, "crystal_system": "tetragonal", "space_group": "No. 122", "dft_energy_ev_per_cell": -107.392, "magnetic_moment_mub_per_fu": 0.0}

2.
{"formula": "Be2P", "functional": "PBE", "state": "relaxed", "lattice": [[3.305, 0.000, 0.000], [0.000, 3.305, 0.000], [0.000, 0.000, 3.156]], "species": ["Be", "Be", "P"], "fractional_positions": [[0.000, 0.500, 0.000], [0.500, 0.000, 0.000], [0.000, 0.000, 0.500]], "ef_ev_per_atom": 0.13, "crystal_system": "tetragonal", "space_group": "No. 123", "e_above_lowest_polymorph_mev_per_atom": 268.3, "dft_energy_ev_per_cell": -12.466, "magnetic_moment_mub_per_fu": 0.0}

3.
{"formula": "CoCu2Te", "functional": "PBE", "state": "relaxed", "lattice": [[3.299, 0.000, 0.000], [0.000, 3.299, 0.000], [0.000, 0.000, 5.410]], "species": ["Co", "Cu", "Cu", "Te"], "fractional_positions": [[0.000, 0.000, 0.000], [0.000, 0.000, 0.462], [0.500, 0.500, 0.274], [0.500, 0.500, 0.791]], "e_form_raw_ev_per_atom": 0.24, "crystal_system": "tetragonal", "space_group": "No. 99", "dft_energy_ev_per_cell": -17.487, "magnetic_moment_mub_per_fu": 0.0}

4.
{"formula": "Y6Al43W4", "functional": "PBE", "state": "relaxed", "lattice": [[11.030, 0.000, 0.000], [-5.515, 9.552, 0.000], [0.000, 0.000, 17.696]], "species": ["Y", "Y", "Y", "Y", "Y", "Y", "Y", "Y", "Y", "Y", "Y", "Y", "Al", "Al", "Al", "Al", "Al", "Al", "Al", "Al", "Al", "Al", "Al", "Al", "Al", "Al", "Al", "Al", "Al", "Al", "Al", "Al", "Al", "Al", "Al", "Al", "Al", "Al", "Al", "Al", "Al", "Al", "Al", "Al", "Al", "Al", "Al", "Al", "Al", "Al", "Al", "Al", "Al", "Al", "Al", "Al", "Al", "Al", "Al", "Al", "Al", "Al", "Al", "Al", "Al", "Al", "Al", "Al", "Al", "Al", "Al", "Al", "Al", "Al", "Al", "Al", "Al", "Al", "Al", "Al", "Al", "Al", "Al", "Al", "Al", "Al", "Al", "Al", "Al", "Al", "Al", "Al", "Al", "Al", "Al", "Al", "Al", "Al", "W", "W", "W", "W", "W", "W", "W", "W"], "fractional_positions": [[0.000, 0.469, 0.096], [0.000, 0.469, 0.404], [0.000, 0.531, 0.596], [0.000, 0.531, 0.904], [0.469, 0.000, 0.096], [0.469, 0.000, 0.404], [0.469, 0.469, 0.596], [0.469, 0.469, 0.904], [0.531, 0.000, 0.596], [0.531, 0.000, 0.904], [0.531, 0.531, 0.096], [0.531, 0.531, 0.404], [0.000, 0.148, 0.750], [0.000, 0.160, 0.115], [0.000, 0.160, 0.385], [0.000, 0.254, 0.531], [0.000, 0.254, 0.969], [0.000, 0.746, 0.031], [0.000, 0.746, 0.469], [0.000, 0.840, 0.615], [0.000, 0.840, 0.885], [0.000, 0.852, 0.250], [0.147, 0.552, 0.250], [0.147, 0.595, 0.750], [0.148, 0.000, 0.750], [0.148, 0.148, 0.250], [0.158, 0.394, 0.664], [0.158, 0.394, 0.836], [0.158, 0.764, 0.164], [0.158, 0.764, 0.336], [0.160, 0.000, 0.115], [0.160, 0.000, 0.385], [0.160, 0.160, 0.615], [0.160, 0.160, 0.885], [0.236, 0.394, 0.164], [0.236, 0.394, 0.336], [0.236, 0.842, 0.664], [0.236, 0.842, 0.836], [0.246, 0.493, 0.000], [0.246, 0.493, 0.500], [0.246, 0.754, 0.000], [0.246, 0.754, 0.500], [0.254, 0.000, 0.531], [0.254, 0.000, 0.969], [0.254, 0.254, 0.031], [0.254, 0.254, 0.469], [0.333, 0.667, 0.125], [0.333, 0.667, 0.375], [0.333, 0.667, 0.625], [0.333, 0.667, 0.875], [0.394, 0.158, 0.664], [0.394, 0.158, 0.836], [0.394, 0.236, 0.164], [0.394, 0.236, 0.336], [0.405, 0.552, 0.750], [0.405, 0.853, 0.250], [0.448, 0.595, 0.250], [0.448, 0.853, 0.750], [0.493, 0.246, 0.000], [0.493, 0.246, 0.500], [0.507, 0.754, 0.000], [0.507, 0.754, 0.500], [0.552, 0.147, 0.250], [0.552, 0.405, 0.750], [0.595, 0.147, 0.750], [0.595, 0.448, 0.250], [0.606, 0.764, 0.664], [0.606, 0.764, 0.836], [0.606, 0.842, 0.164], [0.606, 0.842, 0.336], [0.667, 0.333, 0.125], [0.667, 0.333, 0.375], [0.667, 0.333, 0.625], [0.667, 0.333, 0.875], [0.746, 0.000, 0.031], [0.746, 0.000, 0.469], [0.746, 0.746, 0.531], [0.746, 0.746, 0.969], [0.754, 0.246, 0.000], [0.754, 0.246, 0.500], [0.754, 0.507, 0.000], [0.754, 0.507, 0.500], [0.764, 0.158, 0.164], [0.764, 0.158, 0.336], [0.764, 0.606, 0.664], [0.764, 0.606, 0.836], [0.840, 0.000, 0.615], [0.840, 0.000, 0.885], [0.840, 0.840, 0.115], [0.840, 0.840, 0.385], [0.842, 0.236, 0.664], [0.842, 0.236, 0.836], [0.842, 0.606, 0.164], [0.842, 0.606, 0.336], [0.852, 0.000, 0.250], [0.852, 0.852, 0.750], [0.853, 0.405, 0.250], [0.853, 0.448, 0.750], [0.000, 0.000, 0.000], [0.000, 0.000, 0.500], [0.000, 0.271, 0.250], [0.000, 0.729, 0.750], [0.271, 0.000, 0.250], [0.271, 0.271, 0.750], [0.729, 0.000, 0.750], [0.729, 0.729, 0.250]], "ef_ev_per_atom": -0.28, "crystal_system": "hexagonal", "space_group": "No. 193", "dft_energy_ev_per_cell": -532.995, "magnetic_moment_mub_per_fu": 0.0}

5.
{"formula": "NdTmMgTc", "functional": "PBE", "state": "relaxed", "lattice": [[7.184, 0.000, 0.000], [0.000, 7.184, 0.000], [0.000, 0.000, 7.184]], "species": ["Nd", "Nd", "Nd", "Nd", "Tm", "Tm", "Tm", "Tm", "Mg", "Mg", "Mg", "Mg", "Tc", "Tc", "Tc", "Tc"], "fractional_positions": [[0.000, 0.000, 0.000], [0.000, 0.500, 0.500], [0.500, 0.000, 0.500], [0.500, 0.500, 0.000], [0.000, 0.000, 0.500], [0.000, 0.500, 0.000], [0.500, 0.000, 0.000], [0.500, 0.500, 0.500], [0.250, 0.250, 0.750], [0.250, 0.750, 0.250], [0.750, 0.250, 0.250], [0.750, 0.750, 0.750], [0.250, 0.250, 0.250], [0.250, 0.750, 0.750], [0.750, 0.250, 0.750], [0.750, 0.750, 0.250]], "ef_ev_per_atom": 0.04, "crystal_system": "cubic", "space_group": "No. 216", "dft_energy_ev_per_cell": -84.210, "magnetic_moment_mub_per_fu": 0.0}

6.
{"formula": "NaSc2Cl6", "functional": "PBE", "state": "relaxed", "lattice": [[6.474, 0.000, 0.000], [-3.237, 5.607, 0.000], [0.000, 0.000, 6.405]], "species": ["Na", "Sc", "Sc", "Cl", "Cl", "Cl", "Cl", "Cl", "Cl"], "fractional_positions": [[0.000, 0.000, 0.000], [0.333, 0.667, 0.500], [0.667, 0.333, 0.500], [0.000, 0.355, 0.729], [0.000, 0.645, 0.271], [0.355, 0.000, 0.729], [0.355, 0.355, 0.271], [0.645, 0.000, 0.271], [0.645, 0.645, 0.729]], "e_form_raw_ev_per_atom": -1.98, "crystal_system": "trigonal", "space_group": "No. 162", "e_above_lowest_polymorph_mev_per_atom": 0.0, "dft_energy_ev_per_cell": -42.860, "magnetic_moment_mub_per_fu": 1.0}

7.
{"formula": "La4Pm2SmHo2", "functional": "PBE", "state": "relaxed", "lattice": [[7.780, -2.604, 0.000], [7.780, 2.604, 0.000], [-2.571, 0.000, 7.728]], "species": ["La", "La", "La", "La", "Pm", "Pm", "Sm", "Ho", "Ho"], "fractional_positions": [[0.054, 0.054, 0.329], [0.276, 0.276, 0.669], [0.724, 0.724, 0.331], [0.946, 0.946, 0.671], [0.388, 0.388, 0.330], [0.612, 0.612, 0.670], [0.500, 0.500, 0.000], [0.168, 0.168, 0.000], [0.832, 0.832, 0.000]], "ef_ev_per_atom": 0.03, "crystal_system": "monoclinic", "space_group": "No. 12", "dft_energy_ev_per_cell": -42.860, "magnetic_moment_mub_per_fu": 0.0}

8.
{"formula": "SrEuMgZn", "functional": "PBE", "state": "relaxed", "lattice": [[7.935, 0.000, 0.000], [0.000, 7.935, 0.000], [0.000, 0.000, 7.935]], "species": ["Sr", "Sr", "Sr", "Sr", "Eu", "Eu", "Eu", "Eu", "Mg", "Mg", "Mg", "Mg", "Zn", "Zn", "Zn", "Zn"], "fractional_positions": [[0.000, 0.000, 0.000], [0.000, 0.500, 0.500], [0.500, 0.000, 0.500], [0.500, 0.500, 0.000], [0.000, 0.000, 0.500], [0.000, 0.500, 0.000], [0.500, 0.000, 0.000], [0.500, 0.500, 0.500], [0.250, 0.250, 0.750], [0.250, 0.750, 0.250], [0.750, 0.250, 0.250], [0.750, 0.750, 0.750], [0.250, 0.250, 0.250], [0.250, 0.750, 0.750], [0.750, 0.250, 0.750], [0.750, 0.750, 0.250]], "ef_ev_per_atom": -0.11, "crystal_system": "cubic", "space_group": "No. 216", "dft_energy_ev_per_cell": -60.985, "magnetic_moment_mub_per_fu": 7.3}